## Zr2CuReF (PBE)

Data for a relaxed structure of Zr2CuReF.

abc: 5.1280 5.1280 3.9914
angles: 90.00 90.00 90.00
With the nearest neighbours (Å) after each atom.
Atoms (fractional coordinates):
1 Zr 0.0000 0.5000 0.0000  2 Re 2.56
2 Zr 0.5000 0.0000 0.0000  2 Re 2.56
3 Cu 0.0000 0.0000 0.5000  8 Zr 3.25, 4 F 3.63
4 Re 0.5000 0.5000 0.0000  2 F 2.00
5 F 0.5000 0.5000 0.5000  2 Re 2.00

Computed properties:
VASP energy, eV per atom: -6.765
Energy relative to the elements, uncorrected, meV per atom: 337
Space-group type: No. 123
DOS at the Fermi energy, states/eV/cell: 5.80